1.
{
  "formula": "KTaCu2Se4",
  "functional": "PBE-GGA",
  "state": "optimized geometry",
  "cell": [[-3.036, 4.188, 4.547], [3.036, -4.188, 4.547], [3.036, 4.188, -4.547]],
  "species": ["K", "Ta", "Cu", "Cu", "Se", "Se", "Se", "Se"],
  "frac_coords": [[0.000, 0.000, 0.000], [0.500, 0.500, 0.000], [0.366, 0.866, 0.500], [0.634, 0.134, 0.500], [0.163, 0.128, 0.612], [0.484, 0.872, 0.035], [0.516, 0.551, 0.388], [0.837, 0.449, 0.965]],
  "e_above_lowest_polymorph_ev_per_atom": 0.1536,
  "magmom_total_mub_per_fu": 0.00,
  "dft_energy_ev_per_atom": -4.976,
  "spacegroup": "No. 23",
  "crystal_system": "orthorhombic",
  "e_form_raw_ev_per_fu": -4.72
}



2.
{
  "formula": "Sm6GaBi2",
  "functional": "PBE-GGA",
  "state": "optimized geometry",
  "cell": [[8.552, 0.000, 0.000], [-4.276, 7.406, 0.000], [0.000, 0.000, 4.387]],
  "species": ["Sm", "Sm", "Sm", "Sm", "Sm", "Sm", "Ga", "Bi", "Bi"],
  "frac_coords": [[0.000, 0.242, 0.000], [0.000, 0.595, 0.500], [0.242, 0.000, 0.000], [0.405, 0.405, 0.500], [0.595, 0.000, 0.500], [0.758, 0.758, 0.000], [0.000, 0.000, 0.500], [0.333, 0.667, 0.000], [0.667, 0.333, 0.000]],
  "magmom_total_mub_per_fu": 4.91,
  "dft_energy_ev_per_atom": -4.905,
  "spacegroup": "No. 189",
  "crystal_system": "hexagonal",
  "dos_at_fermi_per_ev_cell": 9.5,
  "formation_energy_kj_per_mol_fu": -487
}



3.
{
  "formula": "MnAlRh6",
  "functional": "PBE-GGA",
  "state": "optimized geometry",
  "cell": [[2.819, -4.501, 0.000], [2.819, 4.501, 0.000], [0.000, 0.000, 4.499]],
  "species": ["Mn", "Al", "Rh", "Rh", "Rh", "Rh", "Rh", "Rh"],
  "frac_coords": [[0.000, 0.000, 0.000], [0.500, 0.500, 0.000], [0.000, 0.500, 0.000], [0.250, 0.750, 0.500], [0.253, 0.253, 0.500], [0.500, 0.000, 0.000], [0.747, 0.747, 0.500], [0.750, 0.250, 0.500]],
  "magmom_total_mub_per_fu": 4.32,
  "dft_energy_ev_per_atom": -7.296,
  "spacegroup": "No. 65",
  "crystal_system": "orthorhombic",
  "dos_at_fermi_per_ev_cell": 12.0,
  "formation_energy_kj_per_mol_fu": -130
}



4.
{
  "formula": "K6Mn3Br14",
  "functional": "PBE-GGA",
  "state": "optimized geometry",
  "cell": [[11.702, 0.000, 0.000], [-5.851, 10.135, 0.000], [0.000, 0.000, 7.161]],
  "species": ["K", "K", "K", "K", "K", "K", "Mn", "Mn", "Mn", "Br", "Br", "Br", "Br", "Br", "Br", "Br", "Br", "Br", "Br", "Br", "Br", "Br", "Br"],
  "frac_coords": [[0.048, 0.468, 0.000], [0.280, 0.199, 0.529], [0.420, 0.952, 0.000], [0.532, 0.580, 0.000], [0.801, 0.081, 0.529], [0.919, 0.720, 0.529], [0.000, 0.000, 0.103], [0.333, 0.667, 0.585], [0.667, 0.333, 0.740], [0.000, 0.000, 0.755], [0.061, 0.222, 0.236], [0.161, 0.939, 0.236], [0.186, 0.742, 0.724], [0.258, 0.444, 0.724], [0.333, 0.667, 0.237], [0.469, 0.263, 0.941], [0.536, 0.137, 0.544], [0.556, 0.814, 0.724], [0.601, 0.464, 0.544], [0.737, 0.206, 0.941], [0.778, 0.839, 0.236], [0.794, 0.531, 0.941], [0.863, 0.399, 0.544]],
  "magmom_total_mub_per_fu": 13.00,
  "dft_energy_ev_per_atom": -3.757,
  "spacegroup": "No. 143",
  "crystal_system": "trigonal",
  "dos_at_fermi_per_ev_cell": 7.7,
  "e_form_raw_ev_per_fu": -28.91
}



5.
{
  "formula": "SmZnIr",
  "functional": "PBE-GGA",
  "state": "optimized geometry",
  "cell": [[4.366, 0.000, 0.000], [-2.183, 3.781, 0.000], [0.000, 0.000, 3.770]],
  "species": ["Sm", "Zn", "Ir"],
  "frac_coords": [[0.000, 0.000, 0.000], [0.667, 0.333, 0.500], [0.333, 0.667, 0.500]],
  "magmom_total_mub_per_fu": 0.00,
  "dft_energy_ev_per_atom": -5.483,
  "spacegroup": "No. 187",
  "crystal_system": "hexagonal",
  "dos_at_fermi_per_ev_cell": 1.9,
  "formation_energy_kj_per_mol_fu": -154
}



6.
{
  "formula": "Ni3AuC",
  "functional": "PBE-GGA",
  "state": "optimized geometry",
  "cell": [[4.642, 0.000, 0.000], [0.000, 4.642, 0.000], [0.000, 0.000, 4.642]],
  "species": ["Ni", "Ni", "Ni", "Au", "C"],
  "frac_coords": [[0.000, 0.000, 0.500], [0.000, 0.500, 0.000], [0.500, 0.000, 0.000], [0.000, 0.000, 0.000], [0.500, 0.500, 0.500]],
  "e_above_lowest_polymorph_ev_per_atom": 2.4617,
  "magmom_total_mub_per_fu": 3.27,
  "dft_energy_ev_per_atom": -3.401,
  "spacegroup": "No. 221",
  "crystal_system": "cubic",
  "dos_at_fermi_per_ev_cell": 12.4,
  "formation_energy_kj_per_mol_fu": 1239
}



7.
{
  "formula": "Y4HoTe5",
  "functional": "PBE-GGA",
  "state": "optimized geometry",
  "cell": [[-4.881, 4.881, 3.080], [4.881, -4.881, 3.080], [4.881, 4.881, -3.080]],
  "species": ["Y", "Y", "Y", "Y", "Ho", "Te", "Te", "Te", "Te", "Te"],
  "frac_coords": [[0.094, 0.687, 0.781], [0.313, 0.094, 0.407], [0.687, 0.906, 0.593], [0.906, 0.313, 0.219], [0.501, 0.501, 0.000], [0.001, 0.001, 0.000], [0.207, 0.393, 0.600], [0.393, 0.793, 0.186], [0.607, 0.207, 0.814], [0.793, 0.607, 0.400]],
  "e_above_lowest_polymorph_ev_per_atom": 0.0026,
  "magmom_total_mub_per_fu": 0.00,
  "dft_energy_ev_per_atom": -5.910,
  "spacegroup": "No. 79",
  "crystal_system": "tetragonal",
  "dos_at_fermi_per_ev_cell": 5.5,
  "e_form_raw_ev_per_fu": -12.96
}



8.
{
  "formula": "BiAuIN2",
  "functional": "PBE-GGA",
  "state": "optimized geometry",
  "cell": [[4.283, 0.000, 0.000], [0.000, 4.283, 0.000], [0.000, 0.000, 7.058]],
  "species": ["Bi", "Au", "I", "N", "N"],
  "frac_coords": [[0.000, 0.000, 0.000], [0.500, 0.500, 0.500], [0.500, 0.500, 0.000], [0.000, 0.500, 0.500], [0.500, 0.000, 0.500]],
  "e_above_lowest_polymorph_ev_per_atom": 0.2037,
  "magmom_total_mub_per_fu": 3.08,
  "dft_energy_ev_per_atom": -3.330,
  "spacegroup": "No. 123",
  "crystal_system": "tetragonal",
  "dos_at_fermi_per_ev_cell": 3.0,
  "e_form_raw_ev_per_fu": 8.71
}